(1)
VASP calculation (GGA-PBE) on a relaxed Sc2FeCl crystal.

Properties
**Total energy**: -92.54 eV per cell
**ΔE_f (raw)**: -0.04 eV per atom
**ΔE to the lowest computed polymorph**: 0.665 eV per atom

Lattice parameters (Å, degrees): 6.5109 6.5109 6.5109 90.00 90.00 90.00
Last column: nearest neighbours and their distance in Å.
Space group Fm-3m (No. 225)
Unique sites:
Sc 0.2500 0.2500 0.2500  4 Cl 2.82, 4 Fe 2.82
Fe 0.0000 0.0000 0.0000  8 Sc 2.82
Cl 0.0000 0.0000 0.5000  8 Sc 2.82

---

(2)
VASP calculation (GGA-PBE) on a relaxed BaMnRe2 crystal.

Properties
**Total energy**: -33.55 eV per cell
**ΔH_f (0 K)**: 611 meV per atom
**ΔE to the lowest computed polymorph**: 0.077 eV per atom

Lattice parameters (Å, degrees): 3.1726 3.1726 8.2995 90.00 90.00 90.00
Last column: nearest neighbours and their distance in Å.
Space group P4mm (No. 99)
Unique sites:
Ba 0.0000 0.0000 0.0000  4 Ba 3.17, 4 Re 3.44
Mn 0.5000 0.5000 0.3371  5 Re 2.74-2.89
Re 0.0000 0.0000 0.5268  4 Re 2.60, 4 Mn 2.74
Re 0.5000 0.5000 0.6857  4 Re 2.60, 1 Mn 2.89

---

(3)
VASP calculation (GGA-PBE) on a relaxed ErThMg crystal.

Properties
**Total energy**: -26.45 eV per cell
**ΔH_f (0 K)**: 117 meV per atom
**ΔE to the lowest computed polymorph**: 0.138 eV per atom

Lattice parameters (Å, degrees): 3.4418 3.4418 17.4368 90.00 90.00 120.00
Last column: nearest neighbours and their distance in Å.
Space group P-3m1 (No. 164)
Unique sites:
Er 0.0000 0.0000 0.0950  7 Er 3.31-3.44, 3 Th 3.49
Th 0.3333 0.6667 0.2595  6 Th 3.44, 3 Er 3.49, 3 Mg 3.54
Mg 0.3333 0.6667 0.5726  9 Mg 3.22-3.44, 3 Th 3.54

---

(4)
VASP calculation (GGA-PBE) on a relaxed Pr2NpFeN5 crystal.

Properties
**Total energy**: -322.23 eV per cell
**ΔE_f (raw)**: -0.89 eV per atom

Lattice parameters (Å, degrees): 3.4902 13.8649 10.4310 90.00 90.00 90.00
Last column: nearest neighbours and their distance in Å.
Space group Cmc2_1 (No. 36)
Unique sites:
Pr 0.0000 0.1109 0.0000  6 N 2.57-2.66
Pr 0.0000 0.1310 0.6490  8 N 2.54-2.84
Np 0.0000 0.1914 0.3393  6 N 2.05-2.29
Fe 0.0000 0.4570 0.7566  4 N 1.78-1.93
N 0.0000 0.0271 0.3223  2 Fe 1.89
N 0.0000 0.2983 0.9708  2 Np 2.22
N 0.0000 0.3232 0.7050  1 Fe 1.93
N 0.0000 0.3387 0.3256  1 Np 2.05
N 0.0000 0.4966 0.0976  1 Fe 1.78